Model i:
First-principles (PBE) data for a relaxed structure of ZrZn2W, as listed in Alexandria via LeMat-Bulk.

```
data_ZrZn2W
_cell_length_a 3.582
_cell_length_b 4.296
_cell_length_c 8.776
_cell_angle_alpha 90.00
_cell_angle_beta 90.00
_cell_angle_gamma 90.00
_symmetry_space_group_name_H-M 'C m m 2'
_symmetry_Int_Tables_number 35
loop_
_symmetry_equiv_pos_as_xyz
'x,y,z'
'-x,-y,z'
'-x,y,z'
'x,-y,z'
'x+1/2,y+1/2,z'
'-x+1/2,-y+1/2,z'
'-x+1/2,y+1/2,z'
'x+1/2,-y+1/2,z'
loop_
_atom_site_label
_atom_site_fract_x
_atom_site_fract_y
_atom_site_fract_z
_atom_site_occupancy
Zr1 0.000 0.000 0.000 1
Zn1 0.000 0.000 0.496 1
Zn2 0.000 0.500 0.268 1
W1 0.000 0.500 0.730 1
```

---

Model ii:
First-principles (PBE) data for a relaxed structure of ZrZn2W, as listed in Alexandria via LeMat-Bulk.

```
data_ZrZn2W
_cell_length_a 5.057
_cell_length_b 2.858
_cell_length_c 5.069
_cell_angle_alpha 90.00
_cell_angle_beta 109.94
_cell_angle_gamma 90.00
_symmetry_space_group_name_H-M 'P 1 2/m 1'
_symmetry_Int_Tables_number 10
loop_
_symmetry_equiv_pos_as_xyz
'x,y,z'
'-x,-y,-z'
'-x,y,-z'
'x,-y,z'
loop_
_atom_site_label
_atom_site_fract_x
_atom_site_fract_y
_atom_site_fract_z
_atom_site_occupancy
Zr1 0.000 0.000 0.000 1
Zn1 0.500 0.000 0.500 1
Zn2 0.500 0.500 0.000 1
W1 0.000 0.500 0.500 1
```

---

It turns out model i is the most stable, with the second structure 134 meV/atom higher.

---

Model i:
First-principles (PBE) data for a relaxed structure of ZrZn2W, as listed in Alexandria via LeMat-Bulk.

```
data_ZrZn2W
_cell_length_a 5.762
_cell_length_b 7.995
_cell_length_c 2.867
_cell_angle_alpha 90.00
_cell_angle_beta 90.00
_cell_angle_gamma 90.00
_symmetry_space_group_name_H-M 'C m m m'
_symmetry_Int_Tables_number 65
_symmetry_space_group_name_Hall '-C 2 2'
loop_
_atom_site_label
_atom_site_fract_x
_atom_site_fract_y
_atom_site_fract_z
_atom_site_occupancy
Zr1 0.000 0.000 0.000 1
Zn1 0.250 0.250 0.500 1
W1 0.000 0.500 0.000 1
```

---

Model ii:
First-principles (PBE) data for a relaxed structure of ZrZn2W, as listed in Alexandria via LeMat-Bulk.

```
data_ZrZn2W
_cell_length_a 3.962
_cell_length_b 3.970
_cell_length_c 8.430
_cell_angle_alpha 90.00
_cell_angle_beta 90.00
_cell_angle_gamma 90.00
_symmetry_space_group_name_H-M 'C m m m'
_symmetry_Int_Tables_number 65
_symmetry_space_group_name_Hall '-C 2 2'
loop_
_atom_site_label
_atom_site_fract_x
_atom_site_fract_y
_atom_site_fract_z
_atom_site_occupancy
Zr1 0.000 0.000 0.000 1
Zn1 0.000 0.500 0.263 1
W1 0.000 0.000 0.500 1
```

---

It turns out model i is the most stable, with the second structure 15 meV/atom higher.

---

Model i:
First-principles (PBE) data for a relaxed structure of ZrZn2W, as listed in Alexandria via LeMat-Bulk.

```
data_ZrZn2W
_cell_length_a 3.917
_cell_length_b 3.917
_cell_length_c 8.807
_cell_angle_alpha 90.00
_cell_angle_beta 90.00
_cell_angle_gamma 90.00
_symmetry_space_group_name_H-M 'I -4 m 2'
_symmetry_Int_Tables_number 119
_symmetry_space_group_name_Hall 'I -4 -2'
loop_
_atom_site_label
_atom_site_fract_x
_atom_site_fract_y
_atom_site_fract_z
_atom_site_occupancy
Zr1 0.000 0.000 0.000 1
Zn1 0.000 0.000 0.500 1
Zn2 0.000 0.500 0.250 1
W1 0.000 0.500 0.750 1
```

---

Model ii:
First-principles (PBE) data for a relaxed structure of ZrZn2W, as listed in Alexandria via LeMat-Bulk.

```
data_ZrZn2W
_cell_length_a 2.8705
_cell_length_b 2.8705
_cell_length_c 28.7085
_cell_angle_alpha 90.00
_cell_angle_beta 90.00
_cell_angle_gamma 120.00
_symmetry_space_group_name_H-M 'R -3 m'
_symmetry_Int_Tables_number 166
_symmetry_space_group_name_Hall '-R 3 2"'
loop_
_atom_site_label
_atom_site_fract_x
_atom_site_fract_y
_atom_site_fract_z
_atom_site_occupancy
Zr1 0.0000 0.0000 0.0000 1
Zn1 0.0000 0.0000 0.2448 1
W1 0.0000 0.0000 0.5000 1
```

---

It turns out model i is the most stable, with the second structure 50 meV/atom higher.

---

Model i:
First-principles (PBE) data for a relaxed structure of ZrZn2W, as listed in Alexandria via LeMat-Bulk.

```
data_ZrZn2W
_cell_length_a 9.623
_cell_length_b 2.904
_cell_length_c 5.035
_cell_angle_alpha 90.00
_cell_angle_beta 100.49
_cell_angle_gamma 90.00
_symmetry_space_group_name_H-M 'C 1 2/m 1'
_symmetry_Int_Tables_number 12
loop_
_symmetry_equiv_pos_as_xyz
'x,y,z'
'-x,-y,-z'
'-x,y,-z'
'x,-y,z'
'x+1/2,y+1/2,z'
'-x+1/2,-y+1/2,-z'
'-x+1/2,y+1/2,-z'
'x+1/2,-y+1/2,z'
loop_
_atom_site_label
_atom_site_fract_x
_atom_site_fract_y
_atom_site_fract_z
_atom_site_occupancy
Zr1 0.000 0.000 0.000 1
Zn1 0.244 0.000 0.723 1
W1 0.000 0.500 0.500 1
```

---

Model ii:
First-principles (PBE) data for a relaxed structure of ZrZn2W, as listed in Alexandria via LeMat-Bulk.

```
data_ZrZn2W
_cell_length_a 6.425
_cell_length_b 6.425
_cell_length_c 6.425
_cell_angle_alpha 90.00
_cell_angle_beta 90.00
_cell_angle_gamma 90.00
_symmetry_space_group_name_H-M 'F m -3 m'
_symmetry_Int_Tables_number 225
_symmetry_space_group_name_Hall '-F 4 2 3'
loop_
_atom_site_label
_atom_site_fract_x
_atom_site_fract_y
_atom_site_fract_z
_atom_site_occupancy
Zr1 0.000 0.000 0.000 1
Zn1 0.250 0.250 0.250 1
W1 0.000 0.000 0.500 1
```

---

It turns out model i is the most stable, with the second structure 17 meV/atom higher.

---

Model i:
First-principles (PBE) data for a relaxed structure of ZrZn2W, as listed in Alexandria via LeMat-Bulk.

```
data_ZrZn2W
_cell_length_a 2.832
_cell_length_b 4.104
_cell_length_c 5.908
_cell_angle_alpha 90.00
_cell_angle_beta 90.00
_cell_angle_gamma 90.00
_symmetry_space_group_name_H-M 'P m m 2'
_symmetry_Int_Tables_number 25
loop_
_symmetry_equiv_pos_as_xyz
'x,y,z'
'-x,-y,z'
'-x,y,z'
'x,-y,z'
loop_
_atom_site_label
_atom_site_fract_x
_atom_site_fract_y
_atom_site_fract_z
_atom_site_occupancy
Zr1 0.000 0.000 0.000 1
Zn1 0.000 0.000 0.492 1
Zn2 0.500 0.500 0.727 1
W1 0.500 0.500 0.263 1
```

---

Model ii:
First-principles (PBE) data for a relaxed structure of ZrZn2W, as listed in Alexandria via LeMat-Bulk.

```
data_ZrZn2W
_cell_length_a 2.996
_cell_length_b 4.805
_cell_length_c 9.302
_cell_angle_alpha 90.00
_cell_angle_beta 90.00
_cell_angle_gamma 90.00
_symmetry_space_group_name_H-M 'I m m 2'
_symmetry_Int_Tables_number 44
loop_
_symmetry_equiv_pos_as_xyz
'x,y,z'
'-x,-y,z'
'-x,y,z'
'x,-y,z'
'x+1/2,y+1/2,z+1/2'
'-x+1/2,-y+1/2,z+1/2'
'-x+1/2,y+1/2,z+1/2'
'x+1/2,-y+1/2,z+1/2'
loop_
_atom_site_label
_atom_site_fract_x
_atom_site_fract_y
_atom_site_fract_z
_atom_site_occupancy
Zr1 0.000 0.000 0.000 1
Zn1 0.000 0.000 0.509 1
Zn2 0.000 0.500 0.232 1
W1 0.000 0.500 0.763 1
```

---

Model iii:
First-principles (PBE) data for a relaxed structure of ZrZn2W, as listed in Alexandria via LeMat-Bulk.

```
data_ZrZn2W
_cell_length_a 6.515
_cell_length_b 6.515
_cell_length_c 6.515
_cell_angle_alpha 90.00
_cell_angle_beta 90.00
_cell_angle_gamma 90.00
_symmetry_space_group_name_H-M 'F -4 3 m'
_symmetry_Int_Tables_number 216
_symmetry_space_group_name_Hall 'F -4 2 3'
loop_
_atom_site_label
_atom_site_fract_x
_atom_site_fract_y
_atom_site_fract_z
_atom_site_occupancy
Zr1 0.000 0.000 0.000 1
Zn1 0.000 0.000 0.500 1
Zn2 0.250 0.250 0.250 1
W1 0.250 0.250 0.750 1
```

---

Model iv:
First-principles (PBE) data for a relaxed structure of ZrZn2W, as listed in Alexandria via LeMat-Bulk.

```
data_ZrZn2W
_cell_length_a 2.848
_cell_length_b 3.997
_cell_length_c 5.814
_cell_angle_alpha 90.00
_cell_angle_beta 90.19
_cell_angle_gamma 90.00
_symmetry_space_group_name_H-M 'P 1 2/m 1'
_symmetry_Int_Tables_number 10
loop_
_symmetry_equiv_pos_as_xyz
'x,y,z'
'-x,-y,-z'
'-x,y,-z'
'x,-y,z'
loop_
_atom_site_label
_atom_site_fract_x
_atom_site_fract_y
_atom_site_fract_z
_atom_site_occupancy
Zr1 0.000 0.000 0.000 1
Zn1 0.500 0.500 0.274 1
W1 0.000 0.000 0.500 1
```

---

It turns out model iv is the most stable, with the second structure 104 meV/atom higher.

---

Model i:
First-principles (PBE) data for a relaxed structure of ZrZn2W, as listed in Alexandria via LeMat-Bulk.

```
data_ZrZn2W
_cell_length_a 2.8710
_cell_length_b 2.8710
_cell_length_c 28.9549
_cell_angle_alpha 90.00
_cell_angle_beta 90.00
_cell_angle_gamma 120.00
_symmetry_space_group_name_H-M 'R 3 m'
_symmetry_Int_Tables_number 160
_symmetry_space_group_name_Hall 'R 3 -2"'
loop_
_atom_site_label
_atom_site_fract_x
_atom_site_fract_y
_atom_site_fract_z
_atom_site_occupancy
Zr1 0.0000 0.0000 0.0000 1
Zn1 0.0000 0.0000 0.2455 1
Zn2 0.0000 0.0000 0.5017 1
W1 0.0000 0.0000 0.7580 1
```

---

Model ii:
First-principles (PBE) data for a relaxed structure of ZrZn2W, as listed in Alexandria via LeMat-Bulk.

```
data_ZrZn2W
_cell_length_a 4.074
_cell_length_b 4.074
_cell_length_c 7.983
_cell_angle_alpha 90.00
_cell_angle_beta 90.00
_cell_angle_gamma 90.00
_symmetry_space_group_name_H-M 'I 4/m m m'
_symmetry_Int_Tables_number 139
_symmetry_space_group_name_Hall '-I 4 2'
loop_
_atom_site_label
_atom_site_fract_x
_atom_site_fract_y
_atom_site_fract_z
_atom_site_occupancy
Zr1 0.000 0.000 0.000 1
Zn1 0.000 0.500 0.250 1
W1 0.000 0.000 0.500 1
```

---

It turns out model ii is the most stable, with the second structure 185 meV/atom higher.